Material: YBeAu2
Method: DFT, GGA-PBE
State: optimized geometry

DFT total energy ... -56.020 eV per cell
DFT formation energy ... -0.48 eV/atom

Cell: 4.253 4.253 14.892 Å, 90.00 90.00 120.00°
Fractional positions:
Y  0.000  0.000  0.000
Y  0.333  0.667  0.667
Y  0.667  0.333  0.333
Be  0.000  0.000  0.500
Be  0.333  0.667  0.167
Be  0.667  0.333  0.833
Au  0.000  0.000  0.215
Au  0.000  0.000  0.785
Au  0.333  0.667  0.452
Au  0.333  0.667  0.882
Au  0.667  0.333  0.118
Au  0.667  0.333  0.548



Material: La3W
Method: DFT, GGA-PBE
State: optimized geometry

DFT total energy ... -104.324 eV per cell
DFT formation energy ... 0.41 eV/atom
Offset from the most stable computed form ... 0.000 eV per formula unit

Cell: 9.393 12.317 4.364 Å, 90.00 90.00 90.00°
Fractional positions:
La  0.000  0.122  0.250
La  0.000  0.878  0.750
La  0.185  0.373  0.250
La  0.185  0.627  0.750
La  0.315  0.127  0.750
La  0.315  0.873  0.250
La  0.500  0.378  0.750
La  0.500  0.622  0.250
La  0.685  0.127  0.750
La  0.685  0.873  0.250
La  0.815  0.373  0.250
La  0.815  0.627  0.750
W  0.000  0.282  0.750
W  0.000  0.718  0.250
W  0.500  0.218  0.250
W  0.500  0.782  0.750



Material: LaScPdPb
Method: DFT, GGA-PBE
State: optimized geometry

DFT total energy ... -89.158 eV per cell
DFT formation energy ... -0.53 eV/atom

Cell: 7.395 7.395 7.395 Å, 90.00 90.00 90.00°
Fractional positions:
La  0.000  0.000  0.000
La  0.000  0.500  0.500
La  0.500  0.000  0.500
La  0.500  0.500  0.000
Sc  0.000  0.000  0.500
Sc  0.000  0.500  0.000
Sc  0.500  0.000  0.000
Sc  0.500  0.500  0.500
Pd  0.250  0.250  0.250
Pd  0.250  0.750  0.750
Pd  0.750  0.250  0.750
Pd  0.750  0.750  0.250
Pb  0.250  0.250  0.750
Pb  0.250  0.750  0.250
Pb  0.750  0.250  0.250
Pb  0.750  0.750  0.750